Tb3CeCd4, optimized geometry, DFT PBE; final energy = -25.6 eV per formula unit; theoretical density = 8.22 g cm⁻³; ΔE_f = -260.1 meV per atom
1.0
5.3250 0.0000 0.0000
0.0000 5.3250 0.0000
0.0000 0.0000 7.6015
Tb Ce Cd
3 1 4
direct
0.0000 0.0000 0.0000
0.0000 0.0000 0.5000
0.5000 0.5000 0.0000
0.5000 0.5000 0.5000
0.0000 0.5000 0.2427
0.0000 0.5000 0.7573
0.5000 0.0000 0.2427
0.5000 0.0000 0.7573